DFT (PBE) results for a relaxed Na2MgC crystal.

Distance to the lowest polymorph of the same formula in meV per atom: 0
Magnetization in μB/f.u.: 0.00
Total DFT energy (no corrections) in eV per formula unit: -10.78
Energy relative to the elements in eV/atom: 0.669
DOS(E_F) in states/eV per cell: 5.9

```
data_Na2MgC
_space_group_name_H-M_alt 'I -4 2 d'
_space_group_IT_number 122
_space_group_name_Hall 'I -4 2bw'
_cell_length_a 10.097
_cell_length_b 10.097
_cell_length_c 4.162
_cell_angle_alpha 90.00
_cell_angle_beta 90.00
_cell_angle_gamma 90.00
loop_
_atom_site_label
_atom_site_fract_x
_atom_site_fract_y
_atom_site_fract_z
Na1 0.049 0.250 0.125
Mg1 0.000 0.000 0.500
C1 0.000 0.000 0.000
```

DFT (PBE) results for a relaxed Sm3Ga3Ni crystal.

Magnetization in μB/f.u.: 0.00
Total DFT energy (no corrections) in eV per formula unit: -33.05
Energy relative to the elements in eV/atom: -0.576
DOS(E_F) in states/eV per cell: 26.6

```
data_Sm3Ga3Ni
_space_group_name_H-M_alt 'C 1 2/m 1'
_space_group_IT_number 12
_cell_length_a 10.924
_cell_length_b 4.334
_cell_length_c 14.383
_cell_angle_alpha 90.00
_cell_angle_beta 110.00
_cell_angle_gamma 90.00
loop_
_space_group_symop_operation_xyz
'x,y,z'
'-x,-y,-z'
'-x,y,-z'
'x,-y,z'
'x+1/2,y+1/2,z'
'-x+1/2,-y+1/2,-z'
'-x+1/2,y+1/2,-z'
'x+1/2,-y+1/2,z'
loop_
_atom_site_label
_atom_site_fract_x
_atom_site_fract_y
_atom_site_fract_z
Sm1 0.028 0.000 0.386
Sm2 0.107 0.000 0.921
Sm3 0.242 0.000 0.236
Ga1 0.039 0.500 0.238
Ga2 0.107 0.500 0.076
Ga3 0.155 0.500 0.540
Ni1 0.246 0.500 0.396
```

DFT (PBE) results for a relaxed AlRuAu4 crystal.

Magnetization in μB/f.u.: 1.42
Total DFT energy (no corrections) in eV per formula unit: -23.26
Energy relative to the elements in eV/atom: 0.479
DOS(E_F) in states/eV per cell: 23.1

```
data_AlRuAu4
_space_group_name_H-M_alt 'F -4 3 m'
_space_group_IT_number 216
_space_group_name_Hall 'F -4 2 3'
_cell_length_a 7.646
_cell_length_b 7.646
_cell_length_c 7.646
_cell_angle_alpha 90.00
_cell_angle_beta 90.00
_cell_angle_gamma 90.00
loop_
_atom_site_label
_atom_site_fract_x
_atom_site_fract_y
_atom_site_fract_z
Al1 0.000 0.000 0.000
Ru1 0.250 0.250 0.250
Au1 0.125 0.125 0.625
```

DFT (PBE) results for a relaxed LiTh2Ga3Ni4 crystal.

Magnetization in μB/f.u.: 0.00
Total DFT energy (no corrections) in eV per formula unit: -53.71
Energy relative to the elements in eV/atom: -0.475
DOS(E_F) in states/eV per cell: 7.6

```
data_LiTh2Ga3Ni4
_space_group_name_H-M_alt 'P -4 m 2'
_space_group_IT_number 115
_cell_length_a 3.998
_cell_length_b 3.998
_cell_length_c 10.669
_cell_angle_alpha 90.00
_cell_angle_beta 90.00
_cell_angle_gamma 90.00
loop_
_space_group_symop_operation_xyz
'x,y,z'
'y,-x,-z'
'-x,-y,z'
'-y,x,-z'
'-x,y,z'
'-y,-x,-z'
'x,-y,z'
'y,x,-z'
loop_
_atom_site_label
_atom_site_fract_x
_atom_site_fract_y
_atom_site_fract_z
Li1 0.000 0.000 0.000
Th1 0.000 0.500 0.748
Ga1 0.000 0.500 0.378
Ga2 0.500 0.500 0.000
Ni1 0.000 0.000 0.500
Ni2 0.000 0.500 0.148
Ni3 0.500 0.500 0.500
```